Here is an optimized crystal structure of TeMoAuF2 from the Alexandria database. Energies are from PBE with a Hubbard U.

**Space-group type**: P4/mmm (123)
**E_tot**: -4.693 eV/atom
**Fermi-level density of states**: 1.015 states/eV/f.u.

a = 4.155 Å, b = 4.155 Å, c = 5.985 Å
α = 90.00°, β = 90.00°, γ = 90.00°
Positions (direct):
Te1 0.000 0.000 0.000
Mo1 0.000 0.000 0.500
Au1 0.500 0.500 0.000
F1 0.000 0.500 0.500
F2 0.500 0.000 0.500